Below is a relaxed structure of Be3Co, with properties calculated at the GGA-PBE level.

Calculated values
Calculated volume   34 Å³/cell
E_tot   -19.0 eV per formula unit
M_tot   0.00 μB/cell
Formation energy   -0.177 eV per atom

Unit cell a=2.639 b=2.639 c=4.843 alpha=90.00 beta=90.00 gamma=90.00
Element x y z (fractional)
Be 0.000 0.000 0.000
Be 0.500 0.500 0.259
Be 0.500 0.500 0.741
Co 0.000 0.000 0.500